# 1
## CaMg2Ta (meta-GGA SCAN)

Data for a crystal of CaMg2Ta relaxed with PBEsol.

Calculated values
magnetization = 1.053 μB/f.u.
DOS at the Fermi energy = 3.1 states/eV per cell
energy relative to the elements = 596 meV per atom
calculated total energy = -83.81 eV for the cell shown

Lattice parameters (Å, degrees): 3.105 5.385 6.358 115.05 104.14 90.00
Each line ends with the local moment (μB).
Fractional positions:
Ca: 0.500 0.000 0.000  0.06
Ta: 0.000 0.500 0.000  0.56
Mg: 0.727 0.727 0.455  0.01
Mg: 0.273 0.273 0.545  0.01



# 2
## NbReSb2Te (meta-GGA SCAN)

Data for a crystal of NbReSb2Te relaxed with PBEsol.

Calculated values
magnetization = 3.761 μB/f.u.
formation energy (no corrections) = 1.153 eV/atom
DOS at the Fermi energy = 4.3 states/eV per cell
calculated total energy = -210.23 eV for the cell shown

Lattice parameters (Å, degrees): 5.027 5.027 5.336 90.00 90.00 90.00
Each line ends with the local moment (μB).
Fractional positions:
Sb: 0.000 0.500 0.000  -0.04
Re: 0.000 0.000 0.000  0.43
Te: 0.000 0.000 0.500  -0.19
Sb: 0.500 0.000 0.000  -0.04
Nb: 0.500 0.500 0.500  2.59



# 3
## ReMoIr2 (meta-GGA SCAN)

Data for a crystal of ReMoIr2 relaxed with PBEsol.

Calculated values
magnetization = 0.006 μB/f.u.
DOS at the Fermi energy = 2.3 states/eV per cell
energy relative to the elements = -314 meV per atom
calculated total energy = -249.44 eV for the cell shown

Lattice parameters (Å, degrees): 3.842 3.842 4.745 113.88 113.88 90.00
Fractional positions:
Mo: 0.000 0.000 0.000
Ir: 0.250 0.750 0.500
Re: 0.500 0.500 0.000
Ir: 0.750 0.250 0.500



# 4
## Na8SnO6 (meta-GGA SCAN)

Data for a crystal of Na8SnO6 relaxed with PBEsol.

Calculated values
magnetization = 0.085 μB/f.u.
formation energy (no corrections) = -1.562 eV/atom
calculated total energy = -260.91 eV for the cell shown

Lattice parameters (Å, degrees): 6.421 6.421 12.763 90.00 90.00 120.00
Fractional positions:
O: 0.667 0.333 0.780
Na: 0.400 0.000 0.375
Na: 0.300 0.300 0.231
O: 0.707 0.000 0.049
Na: 0.333 0.667 0.590
Na: 0.700 0.000 0.231
O: 0.293 0.293 0.049
O: 0.000 0.000 0.346
Na: 0.000 0.400 0.375
Na: 0.667 0.333 0.590
O: 0.000 0.707 0.049
Na: 0.700 0.700 0.731
Na: 0.000 0.600 0.875
Na: 0.600 0.000 0.875
O: 0.707 0.707 0.549
Na: 0.667 0.333 0.090
Na: 0.300 0.000 0.731
Na: 0.600 0.600 0.375
Na: 0.000 0.700 0.231
O: 0.667 0.333 0.280
O: 0.293 0.000 0.549
O: 0.333 0.667 0.780
Na: 0.400 0.400 0.875
O: 0.000 0.293 0.549
Na: 0.333 0.667 0.090
O: 0.333 0.667 0.280
Sn: 0.000 0.000 0.003
Sn: 0.000 0.000 0.503
O: 0.000 0.000 0.846
Na: 0.000 0.300 0.731



# 5
## LaYMo2 (meta-GGA SCAN)

Data for a crystal of LaYMo2 relaxed with PBEsol.

Calculated values
magnetization = 0.000 μB/f.u.
DOS at the Fermi energy = 4.4 states/eV per cell
energy relative to the elements = 880 meV per atom
calculated total energy = -137.20 eV for the cell shown

Lattice parameters (Å, degrees): 3.282 3.282 9.173 79.69 79.69 60.00
Fractional positions:
Mo: 0.745 0.745 0.764
Y: 0.500 0.500 0.500
Mo: 0.255 0.255 0.236
La: 0.000 0.000 0.000



# 6
## PmNdMg2 (meta-GGA SCAN)

Data for a crystal of PmNdMg2 relaxed with PBEsol.

Calculated values
magnetization = 0.001 μB/f.u.
DOS at the Fermi energy = 3.9 states/eV per cell
energy relative to the elements = -121 meV per atom
calculated total energy = -98.00 eV for the cell shown

Lattice parameters (Å, degrees): 5.404 5.404 5.404 60.00 60.00 60.00
Fractional positions:
Mg: 0.750 0.750 0.750
Mg: 0.250 0.250 0.250
Nd: 0.500 0.500 0.500
Pm: 0.000 0.000 0.000



# 7
## YAg3 (meta-GGA SCAN)

Data for a crystal of YAg3 relaxed with PBEsol.

Calculated values
magnetization = 0.000 μB/f.u.
DOS at the Fermi energy = 3.3 states/eV per cell
energy relative to the elements = -292 meV per atom
calculated total energy = -246.22 eV for the cell shown

Lattice parameters (Å, degrees): 4.956 5.136 6.050 90.00 90.00 90.00
Fractional positions:
Ag: 0.000 0.159 0.745
Ag: 0.500 0.317 0.000
Y: 0.500 0.346 0.500
Y: 0.000 0.654 0.000
Ag: 0.000 0.683 0.500
Ag: 0.500 0.841 0.755
Ag: 0.500 0.841 0.245
Ag: 0.000 0.159 0.255



# 8
## Sr2GdBeO5 (meta-GGA SCAN)

Data for a crystal of Sr2GdBeO5 relaxed with PBEsol.

Calculated values
magnetization = 5.990 μB/f.u.
formation energy (no corrections) = -3.029 eV/atom
DOS at the Fermi energy = 15.7 states/eV per cell
calculated total energy = -664.54 eV for the cell shown

Lattice parameters (Å, degrees): 6.471 7.266 9.473 90.00 90.00 90.00
Each line ends with the local moment (μB).
Fractional positions:
Be: 0.315 0.250 0.900  0.00
O: 0.535 0.250 0.990  -0.26
Sr: 0.590 0.524 0.826  0.01
O: 0.687 0.939 0.562  -0.11
O: 0.187 0.061 0.938  -0.11
Sr: 0.910 0.976 0.326  0.01
Sr: 0.090 0.024 0.674  0.01
Gd: 0.910 0.250 0.025  6.97
O: 0.881 0.750 0.772  -0.10
Gd: 0.590 0.250 0.525  6.97
O: 0.336 0.750 0.712  -0.36
O: 0.035 0.750 0.510  -0.26
Be: 0.815 0.750 0.600  0.00
O: 0.381 0.250 0.728  -0.10
Be: 0.685 0.750 0.100  0.00
Sr: 0.590 0.976 0.826  0.01
O: 0.619 0.750 0.272  -0.10
Gd: 0.410 0.750 0.475  6.97
O: 0.313 0.061 0.438  -0.11
O: 0.813 0.939 0.062  -0.11
O: 0.119 0.250 0.228  -0.10
O: 0.664 0.250 0.288  -0.36
O: 0.965 0.250 0.490  -0.26
O: 0.465 0.750 0.010  -0.26
Sr: 0.090 0.476 0.674  0.01
Sr: 0.410 0.024 0.174  0.01
Be: 0.185 0.250 0.400  0.00
Sr: 0.410 0.476 0.174  0.01
O: 0.813 0.561 0.062  -0.11
O: 0.187 0.439 0.938  -0.11
Gd: 0.090 0.750 0.975  6.97
O: 0.164 0.750 0.212  -0.36
O: 0.836 0.250 0.788  -0.36
O: 0.313 0.439 0.438  -0.11
Sr: 0.910 0.524 0.326  0.01
O: 0.687 0.561 0.562  -0.11



# 9
## Nd2SnS5 (meta-GGA SCAN)

Data for a crystal of Nd2SnS5 relaxed with PBEsol.

Calculated values
magnetization = 0.000 μB/f.u.
formation energy (no corrections) = -1.653 eV/atom
DOS at the Fermi energy = 0.5 states/eV per cell
calculated total energy = -368.90 eV for the cell shown

Lattice parameters (Å, degrees): 3.941 7.697 11.107 90.00 90.00 90.00
Fractional positions:
S: 0.500 0.808 0.072
S: 0.500 0.692 0.572
Sn: 0.000 0.000 0.000
S: 0.000 0.500 0.000
S: 0.000 0.351 0.705
S: 0.000 0.851 0.795
S: 0.000 0.149 0.205
S: 0.500 0.192 0.928
Nd: 0.500 0.069 0.669
Sn: 0.000 0.500 0.500
Nd: 0.500 0.569 0.831
Nd: 0.500 0.431 0.169
Nd: 0.500 0.931 0.331
S: 0.000 0.649 0.295
S: 0.500 0.308 0.428
S: 0.000 0.000 0.500



# 10
## SrTaTe2 (meta-GGA SCAN)

Data for a crystal of SrTaTe2 relaxed with PBEsol.

Calculated values
magnetization = 0.030 μB/f.u.
formation energy (no corrections) = -0.072 eV/atom
DOS at the Fermi energy = 2.8 states/eV per cell
calculated total energy = -163.65 eV for the cell shown

Lattice parameters (Å, degrees): 3.474 3.474 9.476 90.00 90.00 90.00
Each line ends with the local moment (μB).
Fractional positions:
Te: 0.500 0.500 0.268  -0.01
Ta: 0.500 0.500 0.789  0.05
Sr: 0.000 0.000 0.515  -0.01
Te: 0.000 0.000 0.928  -0.01



# 11
## YTi4Cu3O12 (meta-GGA SCAN)

Data for a crystal of YTi4Cu3O12 relaxed with PBEsol.

Calculated values
magnetization = 2.000 μB/f.u.
formation energy (no corrections) = -2.681 eV/atom
DOS at the Fermi energy = 4.8 states/eV per cell
calculated total energy = -265.96 eV for the cell shown

Lattice parameters (Å, degrees): 6.391 6.391 6.391 109.47 109.47 109.47
Each line ends with the local moment (μB).
Fractional positions:
O: 0.529 0.825 0.703  0.05
Ti: 0.000 0.000 0.500  -0.02
Ti: 0.500 0.000 0.000  -0.02
O: 0.175 0.297 0.471  0.05
O: 0.703 0.878 0.175  0.05
O: 0.297 0.122 0.825  0.05
O: 0.703 0.529 0.825  0.05
Cu: 0.500 0.000 0.500  0.50
O: 0.825 0.703 0.529  0.05
O: 0.297 0.471 0.175  0.05
Y: 0.000 0.000 0.000  -0.01
O: 0.878 0.175 0.703  0.05
Ti: 0.000 0.500 0.000  -0.02
Cu: 0.500 0.500 0.000  0.50
O: 0.122 0.825 0.297  0.05
O: 0.175 0.703 0.878  0.05
O: 0.825 0.297 0.122  0.05
Ti: 0.500 0.500 0.500  -0.02
O: 0.471 0.175 0.297  0.05
Cu: 0.000 0.500 0.500  0.50



# 12
## Ag15P4S16Cl3 (meta-GGA SCAN)

Data for a crystal of Ag15P4S16Cl3 relaxed with PBEsol.

Calculated values
magnetization = 0.000 μB/f.u.
formation energy (no corrections) = -0.300 eV/atom
DOS at the Fermi energy = 0.0 states/eV per cell
calculated total energy = -1402.97 eV for the cell shown

Lattice parameters (Å, degrees): 12.695 12.695 12.695 109.47 109.47 109.47
Fractional positions:
Ag: 0.195 0.540 0.908
Ag: 0.632 0.592 0.287
S: 0.319 0.079 0.448
S: 0.760 0.129 0.181
Cl: 0.750 0.625 0.875
Ag: 0.155 0.460 0.368
Ag: 0.713 0.805 0.845
S: 0.921 0.869 0.240
Ag: 0.875 0.750 0.625
S: 0.260 0.181 0.129
Ag: 0.460 0.868 0.655
S: 0.819 0.448 0.079
S: 0.871 0.552 0.631
Cl: 0.875 0.125 0.750
Ag: 0.375 0.625 0.750
Cl: 0.250 0.875 0.625
S: 0.181 0.629 0.760
S: 0.579 0.819 0.948
Ag: 0.845 0.305 0.713
P: 0.403 0.403 0.903
P: 0.597 0.000 0.000
S: 0.948 0.319 0.579
Ag: 0.868 0.155 0.960
Cl: 0.375 0.750 0.125
Ag: 0.787 0.632 0.092
Ag: 0.625 0.250 0.875
S: 0.371 0.631 0.552
P: 0.000 0.500 0.597
S: 0.063 0.063 0.563
Ag: 0.345 0.713 0.305
S: 0.869 0.740 0.421
S: 0.000 0.500 0.437
Ag: 0.592 0.787 0.132
Cl: 0.125 0.250 0.375
S: 0.681 0.760 0.629
Ag: 0.655 0.368 0.460
Ag: 0.540 0.408 0.695
S: 0.129 0.681 0.260
S: 0.552 0.131 0.371
Ag: 0.132 0.287 0.592
S: 0.369 0.421 0.740
S: 0.421 0.240 0.869
P: 0.500 0.097 0.500
S: 0.629 0.260 0.681
P: 0.903 0.903 0.403
P: 0.000 0.500 0.097
Ag: 0.695 0.908 0.540
Ag: 0.908 0.040 0.195
Ag: 0.250 0.375 0.125
S: 0.500 0.437 0.500
S: 0.240 0.369 0.921
S: 0.563 0.563 0.063
Ag: 0.960 0.655 0.868
S: 0.500 0.937 0.500
S: 0.740 0.921 0.369
Ag: 0.213 0.845 0.805
Ag: 0.287 0.092 0.632
S: 0.079 0.948 0.819
Ag: 0.125 0.875 0.250
S: 0.052 0.371 0.131
Ag: 0.805 0.345 0.213
S: 0.631 0.052 0.871
P: 0.097 0.000 0.000
Ag: 0.040 0.695 0.408
S: 0.448 0.579 0.319
Ag: 0.092 0.132 0.787
Ag: 0.305 0.213 0.345
S: 0.937 0.000 0.000
S: 0.437 0.000 0.000
Ag: 0.750 0.125 0.375
S: 0.131 0.871 0.052
Cl: 0.625 0.375 0.250
S: 0.000 0.500 0.937
P: 0.500 0.597 0.500
Ag: 0.368 0.960 0.155
Ag: 0.408 0.195 0.040